Ac2CuHgO6, optimized geometry, DFT PBE-GGA; formation energy from raw total energies = -1829 meV/atom; size of the total moment = 0.00 μB/f.u.; crystal system = monoclinic; energy = -6.065 eV per atom
1.0
5.7164 0.0000 0.0000
0.0000 6.7719 0.0000
-5.6281 0.0000 7.9042
Ac Cu Hg O
4 2 2 12
direct
0.2262 0.0986 0.2476
0.2262 0.4014 0.7476
0.7738 0.5986 0.2524
0.7738 0.9014 0.7524
0.5000 0.0000 0.0000
0.5000 0.5000 0.5000
0.0000 0.0000 0.5000
0.0000 0.5000 0.0000
0.1790 0.1457 0.9545
0.1790 0.3543 0.4545
0.2495 0.6645 0.9479
0.2495 0.8355 0.4479
0.3856 0.0384 0.7754
0.3856 0.4616 0.2754
0.6144 0.5384 0.7246
0.6144 0.9616 0.2246
0.7505 0.1645 0.5521
0.7505 0.3355 0.0521
0.8210 0.6457 0.5455
0.8210 0.8543 0.0455